Entry 1:
The following is a PBEsol calculation of a relaxed MnAg2Au crystal, from Alexandria.

```
MnAg2Au
1.0
3.035 0.000 0.000
0.000 3.536 0.000
0.000 0.000 6.015
Mn Au Ag
1 1 2
Direct
0.500 0.500 0.744
0.000 0.000 0.515
0.000 0.000 0.994
0.500 0.500 0.248
```

Calculated values
Energy of formation from the pure elements: 0.429 eV per formula unit
VASP energy: -19.88 eV per cell
Space-group type: Pmm2 (25)
Fermi-level density of states: 0.40 states/eV per atom

---

Entry 2:
The following is a PBEsol calculation of a relaxed Cd2InGa2 crystal, from Alexandria.

```
Cd2InGa2
1.0
4.018 0.000 0.000
0.000 4.018 0.000
-2.009 -2.009 6.698
Cd Ga In
2 2 1
Direct
0.396 0.396 0.792
0.604 0.604 0.208
0.250 0.750 0.500
0.750 0.250 0.500
0.000 0.000 0.000
```

Calculated values
Energy of formation from the pure elements: 0.398 eV per formula unit
VASP energy: -11.66 eV per cell
Energy relative to the lowest polymorph listed for this composition: 5 meV per atom
Space-group type: I4/mmm (139)
Fermi-level density of states: 0.34 states/eV per atom

---

Entry 3:
The following is a PBEsol calculation of a relaxed Mg2Sb2Pb crystal, from Alexandria.

```
Mg2Sb2Pb
1.0
-1.567 -0.162 3.171
4.502 -6.854 1.875
6.052 4.862 3.240
Pb Sb Mg
2 4 4
Direct
0.000 0.000 0.000
0.000 0.500 0.500
0.500 0.170 0.670
0.500 0.670 0.830
0.500 0.830 0.330
0.500 0.330 0.170
0.000 0.371 0.871
0.000 0.871 0.629
0.000 0.629 0.129
0.000 0.129 0.371
```

Calculated values
VASP energy: -34.36 eV per cell
Energy relative to the lowest polymorph listed for this composition: 0 meV per atom
ΔE_f (raw): -0.13 eV/atom
Space-group type: P4/mbm (127)
Fermi-level density of states: 0.46 states/eV per atom

---

Entry 4:
The following is a PBEsol calculation of a relaxed Y2CrCu crystal, from Alexandria.

```
Y2CrCu
1.0
-1.925 4.385 -0.654
-2.607 2.044 3.520
1.761 3.797 2.418
Cr Cu Y
1 1 2
Direct
0.500 0.500 0.500
0.250 0.250 0.250
0.000 0.000 0.000
0.750 0.750 0.750
```

Calculated values
Energy of formation from the pure elements: 1.645 eV per formula unit
VASP energy: -26.58 eV per cell
Space-group type: F-43m (216)
Fermi-level density of states: 0.83 states/eV per atom

---

Entry 5:
The following is a PBEsol calculation of a relaxed ZrIn2Hg crystal, from Alexandria.

```
ZrIn2Hg
1.0
4.211 0.000 0.000
0.000 4.211 0.000
-2.106 -2.106 4.832
Hg Zr In
1 1 2
Direct
0.250 0.750 0.500
0.500 0.500 0.000
0.000 0.000 0.000
0.750 0.250 0.500
```

Calculated values
Energy of formation from the pure elements: -0.861 eV per formula unit
VASP energy: -16.48 eV per cell
Space-group type: I-4m2 (119)
Fermi-level density of states: 0.76 states/eV per atom

---

Entry 6:
The following is a PBEsol calculation of a relaxed KLaCu2 crystal, from Alexandria.

```
KLaCu2
1.0
3.380 0.000 0.000
0.000 3.380 0.000
0.000 0.000 8.898
Cu K La
2 1 1
Direct
0.000 0.000 0.065
0.500 0.500 0.157
0.000 0.000 0.427
0.500 0.500 0.851
```

Calculated values
Energy of formation from the pure elements: 1.029 eV per formula unit
VASP energy: -14.12 eV per cell
Space-group type: P4mm (99)
Fermi-level density of states: 0.55 states/eV per atom

---

Entry 7:
The following is a PBEsol calculation of a relaxed PrGa2Ni crystal, from Alexandria.

```
PrGa2Ni
1.0
4.171 0.000 0.000
0.000 4.126 0.000
-2.085 0.000 8.665
Pr Ga Ni
2 4 2
Direct
0.641 0.500 0.283
0.359 0.500 0.717
0.791 0.000 0.582
0.209 0.000 0.418
0.000 0.500 0.000
0.500 0.000 0.000
0.928 0.000 0.855
0.072 0.000 0.145
```

Calculated values
Energy of formation from the pure elements: -2.625 eV per formula unit
VASP energy: -41.29 eV per cell
Space-group type: Cmmm (65)
Fermi-level density of states: 0.68 states/eV per atom

---

Entry 8:
The following is a PBEsol calculation of a relaxed CrNiAs crystal, from Alexandria.

```
CrNiAs
1.0
3.585 0.000 0.000
0.000 6.083 0.000
0.000 -3.041 5.268
Cr Ni As
3 3 3
Direct
0.500 0.592 0.000
0.500 0.408 0.408
0.500 0.000 0.592
0.000 0.253 0.000
0.000 0.000 0.253
0.000 0.747 0.747
0.000 0.333 0.667
0.000 0.667 0.333
0.500 0.000 0.000
```

Calculated values
Energy of formation from the pure elements: -0.651 eV per formula unit
VASP energy: -66.47 eV per cell
Space-group type: P-62m (189)
Fermi-level density of states: 0.61 states/eV per atom

---

Entry 9:
The following is a PBEsol calculation of a relaxed NaV6O15 crystal, from Alexandria.

```
NaV6O15
1.0
-0.263 3.008 1.927
-5.323 1.099 -5.773
-6.198 -4.301 5.867
Na V O
1 6 15
Direct
0.925 0.851 0.414
0.686 0.373 0.903
0.317 0.633 0.113
0.896 0.793 0.883
0.089 0.178 0.115
0.603 0.206 0.584
0.211 0.422 0.412
0.994 0.988 0.008
0.186 0.372 0.954
0.798 0.595 0.072
0.375 0.750 0.934
0.619 0.238 0.079
0.602 0.203 0.774
0.395 0.791 0.232
0.773 0.547 0.807
0.223 0.445 0.229
0.936 0.873 0.735
0.059 0.117 0.274
0.677 0.353 0.428
0.139 0.278 0.579
0.504 0.008 0.522
0.311 0.621 0.474
```

Calculated values
VASP energy: -188.66 eV per cell
Energy relative to the lowest polymorph listed for this composition: 9 meV per atom
ΔE_f (raw): -2.31 eV/atom
Space-group type: Cm (8)
Fermi-level density of states: 0.16 states/eV per atom

---

Entry 10:
The following is a PBEsol calculation of a relaxed AgHg2Au crystal, from Alexandria.

```
AgHg2Au
1.0
-0.499 1.569 2.512
-4.576 -1.736 0.176
3.301 -4.277 1.530
Au Hg Ag
1 2 1
Direct
0.230 0.793 0.459
0.982 0.938 0.965
0.770 0.314 0.539
0.518 0.455 0.037
```

Calculated values
Energy of formation from the pure elements: 0.132 eV per formula unit
VASP energy: -8.24 eV per cell
Space-group type: Cm (8)
Fermi-level density of states: 0.31 states/eV per atom

---

Entry 11:
The following is a PBEsol calculation of a relaxed SiMo2Pb crystal, from Alexandria.

```
SiMo2Pb
1.0
3.151 0.000 0.000
0.000 3.151 0.000
0.000 0.000 6.892
Mo Pb Si
2 1 1
Direct
0.000 0.000 0.685
0.000 0.000 0.315
0.500 0.500 0.000
0.500 0.500 0.500
```

Calculated values
VASP energy: -32.42 eV per cell
Energy relative to the lowest polymorph listed for this composition: 93 meV per atom
ΔE_f (raw): 0.22 eV/atom
Space-group type: P4/mmm (123)
Fermi-level density of states: 0.83 states/eV per atom

---

Entry 12:
The following is a PBEsol calculation of a relaxed Ba2DyCoCu2O7 crystal, from Alexandria.

```
Ba2DyCoCu2O7
1.0
-1.560 -3.339 1.077
-0.636 -0.890 -3.681
10.364 -5.029 -0.576
Ba Dy Co Cu O
2 1 1 2 7
Direct
0.500 0.500 0.187
0.500 0.500 0.813
0.500 0.500 0.500
0.000 0.000 0.000
0.000 0.000 0.366
0.000 0.000 0.634
0.500 0.000 0.377
0.500 0.000 0.623
0.000 0.000 0.153
0.000 0.000 0.847
0.000 0.500 0.378
0.000 0.500 0.622
0.000 0.500 0.000
```

Calculated values
VASP energy: -87.54 eV per cell
ΔE_f (raw): -1.93 eV/atom
Space-group type: Pmmm (47)
Fermi-level density of states: 0.28 states/eV per atom